# 1
An optimized crystal structure of PrSmBiO2, computed with PBE.

Output
* M_tot: 0.0 μB per formula unit
* raw total energy: -36.37 eV/cell
* calculated volume: 109.36 Å³/cell

```
PrSmBiO2
1.0
-1.992 1.992 6.892
1.992 -1.992 6.892
1.992 1.992 -6.892
Bi Pr O Sm
1 1 2 1
Direct
0.001 0.001 0.000 Bi
0.337 0.337 0.000 Pr
0.248 0.748 0.500 O
0.748 0.248 0.500 O
0.666 0.666 0.000 Sm
```

=====

# 2
An optimized crystal structure of NaPuB, computed with PBE.

Output
* M_tot: 5.2 μB per formula unit
* raw total energy: -20.02 eV/cell
* energy above the most stable polymorph in this dataset: 0.0000 eV per atom
* calculated volume: 58.67 Å³/cell

```
NaPuB
1.0
0.000 3.084 3.084
3.084 0.000 3.084
3.084 3.084 0.000
Na B Pu
1 1 1
Direct
0.250 0.250 0.250 Na
0.000 0.000 0.000 B
0.750 0.750 0.750 Pu
```

=====

# 3
An optimized crystal structure of Dy2Ho5Te2Pd2, computed with PBE.

Output
* M_tot: 0.0 μB per formula unit
* raw total energy: -58.06 eV/cell
* calculated volume: 297.47 Å³/cell

```
Dy2Ho5Te2Pd2
1.0
-1.968 7.863 4.806
1.968 -7.863 4.806
1.968 7.863 -4.806
Dy Te Ho Pd
2 2 5 2
Direct
0.615 0.259 0.356 Dy
0.903 0.259 0.644 Dy
0.258 0.758 0.500 Te
0.860 0.860 0.000 Te
0.217 0.899 0.318 Ho
0.977 0.106 0.871 Ho
0.235 0.106 0.129 Ho
0.581 0.899 0.682 Ho
0.523 0.523 0.000 Ho
0.832 0.593 0.238 Pd
0.355 0.593 0.762 Pd
```

=====

# 4
An optimized crystal structure of Pm3Fe, computed with PBE.

Output
* M_tot: 2.6 μB per formula unit
* raw total energy: -21.11 eV/cell
* energy above the most stable polymorph in this dataset: 0.0422 eV per atom
* calculated volume: 111.02 Å³/cell
* formation enthalpy at 0 K: 0.3589 eV per atom

```
Pm3Fe
1.0
4.806 0.000 0.000
0.000 4.806 0.000
0.000 0.000 4.806
Fe Pm
1 3
Direct
0.000 0.000 0.000 Fe
0.500 0.000 0.500 Pm
0.500 0.500 0.000 Pm
0.000 0.500 0.500 Pm
```

=====

# 5
An optimized crystal structure of Li2Mg2InCo2Sn, computed with PBE.

Output
* M_tot: 0.0 μB per formula unit
* raw total energy: -28.99 eV/cell
* calculated volume: 123.64 Å³/cell

```
Li2Mg2InCo2Sn
1.0
4.440 0.000 0.000
0.000 4.440 0.000
0.000 0.000 6.271
Mg Li Co Sn In
2 2 2 1 1
Direct
0.000 0.000 0.500 Mg
0.500 0.500 0.000 Mg
0.500 0.000 0.751 Li
0.000 0.500 0.249 Li
0.000 0.500 0.744 Co
0.500 0.000 0.256 Co
0.500 0.500 0.500 Sn
0.000 0.000 0.000 In
```

=====

# 6
An optimized crystal structure of PuNbAl, computed with PBE.

Output
* M_tot: 4.4 μB per formula unit
* raw total energy: -24.89 eV/cell
* energy above the most stable polymorph in this dataset: 0.5829 eV per atom
* calculated volume: 64.80 Å³/cell

```
PuNbAl
1.0
-1.622 -3.579 2.210
-1.344 0.414 4.283
-4.387 -0.223 1.018
Al Pu Nb
1 1 1
Direct
0.000 0.000 0.000 Al
0.750 0.750 0.750 Pu
0.500 0.500 0.500 Nb
```

=====

# 7
An optimized crystal structure of Ba5Ir3, computed with PBE.

Output
* M_tot: 0.0 μB per formula unit
* raw total energy: -72.40 eV/cell
* calculated volume: 514.82 Å³/cell

```
Ba5Ir3
1.0
-6.437 2.827 5.827
-0.629 -8.259 -3.843
3.679 -2.804 5.425
Ir Ba
6 10
Direct
0.613 0.613 0.750 Ir
0.000 0.613 0.250 Ir
0.613 0.000 0.250 Ir
0.000 0.387 0.750 Ir
0.387 0.387 0.250 Ir
0.387 0.000 0.750 Ir
0.333 0.667 0.000 Ba
0.734 0.734 0.250 Ba
0.000 0.266 0.250 Ba
0.266 0.000 0.250 Ba
0.734 0.000 0.750 Ba
0.266 0.266 0.750 Ba
0.667 0.333 0.000 Ba
0.667 0.333 0.500 Ba
0.000 0.734 0.750 Ba
0.333 0.667 0.500 Ba
```

=====

# 8
An optimized crystal structure of Ba3TaGa3Si2O14, computed with PBE.

Output
* M_tot: 0.0 μB per formula unit
* raw total energy: -167.81 eV/cell
* calculated volume: 326.52 Å³/cell

```
Ba3TaGa3Si2O14
1.0
8.523 0.000 0.000
-4.262 7.381 0.000
0.000 0.000 5.190
O Ba Ga Si Ta
14 3 3 2 1
Direct
0.781 0.887 0.226 O
0.105 0.219 0.226 O
0.667 0.333 0.789 O
0.176 0.703 0.649 O
0.895 0.113 0.774 O
0.887 0.781 0.774 O
0.824 0.526 0.351 O
0.526 0.824 0.649 O
0.113 0.895 0.226 O
0.219 0.105 0.774 O
0.703 0.176 0.351 O
0.297 0.474 0.649 O
0.333 0.667 0.211 O
0.474 0.297 0.351 O
0.567 0.567 0.000 Ba
0.000 0.433 0.000 Ba
0.433 0.000 0.000 Ba
0.745 0.000 0.500 Ga
0.255 0.255 0.500 Ga
0.000 0.745 0.500 Ga
0.333 0.667 0.520 Si
0.667 0.333 0.480 Si
0.000 0.000 0.000 Ta
```